Here is Mn2WCl at its PBEsol-relaxed geometry from the Alexandria database. Energies are from meta-GGA SCAN.

Cell and atoms, written as extended XYZ:
```
4
Lattice="-0.284 -1.848 2.310 2.365 -1.488 1.012 2.286 4.728 5.975" Properties=species:S:1:pos:R:3 pbc="T T T"
Mn 3.278 1.053 6.981
Cl 0.000 0.000 0.000
Mn 1.089 0.339 2.316
W 2.184 0.696 4.649
```

Total energy in eV/atom: -28.62
ΔE_f (raw) in kJ/mol of atoms: -7
Space-group type: R-3m, No. 166
ΔE to the lowest computed polymorph in eV/f.u.: 0.00